The following is a GGA-PBE calculation of a geometry-optimized BeSbCl2 structure, from the Alexandria database.

extended XYZ file:
```
4
Lattice="4.182 0.000 0.000 0.000 4.501 0.022 0.000 0.476 4.476" Properties=species:S:1:pos:R:3 pbc="T T T"
Sb 2.091 1.244 1.125
Be 2.091 3.733 3.374
Cl 0.000 4.857 4.389
Cl 0.000 2.609 2.358
```

- Magnetic moment: 0.0 Bohr magnetons per cell
- Energy above the most stable polymorph in this dataset: 0.783 eV/atom
- Space group: Cmmm (65)


The following is a GGA-PBE calculation of a geometry-optimized BeSb2Cl structure, from the Alexandria database.

extended XYZ file:
```
4
Lattice="3.317 0.000 0.000 0.000 3.316 0.000 0.000 0.000 7.799" Properties=species:S:1:pos:R:3 pbc="T T T"
Sb 0.000 0.000 0.378
Sb 0.000 0.000 3.522
Be 1.658 1.658 1.950
Cl 1.658 1.658 5.850
```

- Magnetic moment: 0.0 Bohr magnetons per cell
- Energy above the most stable polymorph in this dataset: 0.280 eV/atom
- Space group: P4/mmm (123)


no.,calculated total energy (eV per cell),V (Å³ per cell),formation energy from raw total energies (eV per atom)
1,-11.1,84.2,0.10
2,-13.3,85.8,0.14